1.
A relaxed In2CuOs crystal, computed with PBE.

Geometry as POSCAR:
```
In2CuOs
1.0
8.886 -0.004 -0.003
8.358 3.020 -0.003
8.358 1.461 2.643
Cu In Os
1 2 1
direct
0.750 0.750 0.750 Cu
0.000 0.000 0.000 In
0.500 0.500 0.500 In
0.250 0.250 0.250 Os
```

Results
Formation energy from the elements, eV/atom: 0.4543
Theoretical density, g/cm³: 11.3

---

2.
A relaxed DyTmTh2Bi4 crystal, computed with PBE.

Geometry as POSCAR:
```
DyTmTh2Bi4
1.0
-3.049 -1.702 2.901
5.300 -5.233 2.500
0.478 6.492 4.310
Bi Th Dy Tm
4 2 1 1
direct
0.500 0.244 0.238 Bi
0.500 0.756 0.762 Bi
0.000 0.252 0.761 Bi
0.000 0.748 0.239 Bi
0.500 0.000 0.500 Th
0.000 0.500 0.500 Th
0.500 0.500 0.000 Dy
0.000 0.000 0.000 Tm
```

Results
Formation energy from the elements, eV/atom: -0.6875
Theoretical density, g/cm³: 10.3

---

3.
A relaxed BeAgPt2 crystal, computed with PBE.

Geometry as POSCAR:
```
BeAgPt2
1.0
3.812 0.000 0.000
0.000 3.812 0.000
1.906 1.906 8.920
Be Ag Pt
2 2 4
direct
0.250 0.750 0.500 Be
0.500 0.500 0.000 Be
0.750 0.250 0.500 Ag
0.000 0.000 0.000 Ag
0.875 0.856 0.750 Pt
0.606 0.125 0.250 Pt
0.375 0.394 0.750 Pt
0.144 0.625 0.250 Pt
```

Results
Formation energy from the elements, eV/atom: 0.2247
Theoretical density, g/cm³: 13.0

---

4.
A relaxed LiZr2Al crystal, computed with PBE.

Geometry as POSCAR:
```
LiZr2Al
1.0
-5.333 -0.398 0.414
-2.373 -1.979 -4.384
4.138 -1.522 3.054
Li Zr Al
1 2 1
direct
0.750 0.250 0.500 Li
0.000 0.000 0.000 Zr
0.250 0.750 0.500 Zr
0.500 0.500 0.000 Al
```

Results
Formation energy from the elements, eV/atom: -0.0673
Theoretical density, g/cm³: 4.7